Material: Li2YCd9
Method: DFT, PBE-GGA
State: relaxed

It has space group I4_1/amd (No. 141, origin choice 2), with a = 11.750 Å, b = 11.750 Å, c = 7.434 Å, α = 90.00°, β = 90.00° and γ = 90.00°. The asymmetric unit holds Li at (0.000, 0.000, 0.000), Y at (0.000, 0.250, 0.375), Cd at (0.000, 0.250, 0.875) and Cd at (0.121, 0.053, 0.677).

The value obtained for the energy is -20.70 eV/f.u. The formation energy is -210 kJ/mol of formula units. Its calculated volume is 21.38 A^3/atom. Its crystal system is tetragonal. As for the mass density: 7.21 g/cm3.